VASP calculation (GGA-PBE) on an optimized crystal structure of CaIrRh.

```
CaIrRh
1.0
4.5710 0.0000 0.0000
-2.2855 3.9586 0.0000
0.0000 0.0000 2.9772
Ca Ir Rh
1 1 1
direct
0.0000 0.0000 0.0000
0.6667 0.3333 0.5000
0.3333 0.6667 0.5000
```

Calculated values
Formation enthalpy at 0 K ... -0.0345 eV/atom
Symmetry ... No. 187

VASP calculation (GGA-PBE) on an optimized crystal structure of AgBi2BCl.

```
AgBi2BCl
1.0
5.2600 0.0000 0.0000
0.0000 4.0704 0.0000
0.0000 0.0000 5.2600
B Bi Ag Cl
1 2 1 1
direct
0.0000 0.0000 0.0000
0.0000 0.0000 0.5000
0.5000 0.0000 0.0000
0.5000 0.5000 0.5000
0.0000 0.5000 0.0000
```

Calculated values
Formation energy from raw total energies ... 0.64 eV/atom
Symmetry ... No. 123

VASP calculation (GGA-PBE) on an optimized crystal structure of KAsSe2Br.

```
KAsSe2Br
1.0
-2.5176 5.1778 -2.7394
-3.1768 -3.7120 -4.0965
-4.8306 -0.2480 3.9708
K As Se Br
1 1 2 1
direct
0.0000 0.0000 0.0000
0.5000 0.5000 0.5000
0.0000 0.5000 0.0000
0.5000 0.0000 0.0000
0.0000 0.0000 0.5000
```

Calculated values
Formation energy from raw total energies ... 0.94 eV/atom
Symmetry ... No. 123

VASP calculation (GGA-PBE) on an optimized crystal structure of Ho2Tm3ScAs6.

```
Ho2Tm3ScAs6
1.0
4.0487 0.0000 0.0000
0.0000 8.0887 0.2901
-2.0244 -2.3292 8.5055
Ho Tm Sc As
2 3 1 6
direct
0.8344 0.6681 0.6689
0.1656 0.3319 0.3311
0.5000 0.5000 0.0000
0.8326 0.1656 0.6653
0.1674 0.8344 0.3347
0.5000 0.0000 0.0000
0.3364 0.9200 0.6727
0.6662 0.5848 0.3323
0.6636 0.0800 0.3273
0.9988 0.2418 0.9976
0.0012 0.7582 0.0024
0.3338 0.4152 0.6677
```

Calculated values
Formation enthalpy at 0 K ... -1.4821 eV/atom
Symmetry ... No. 12

VASP calculation (GGA-PBE) on an optimized crystal structure of KCd2Cu2.

```
KCd2Cu2
1.0
-3.7552 2.1320 1.7793
-0.3301 -3.3140 3.2743
1.1333 2.2965 5.7696
K Cu Cd
1 2 2
direct
0.0000 0.0000 0.0000
0.3865 0.3865 0.2269
0.6135 0.6135 0.7731
0.7500 0.2500 0.5000
0.2500 0.7500 0.5000
```

Calculated values
Formation enthalpy at 0 K ... 0.1369 eV/atom
Symmetry ... No. 139

VASP calculation (GGA-PBE) on an optimized crystal structure of CsRbZnGeSe.

```
CsRbZnGeSe
1.0
4.7960 0.0031 0.0002
-2.3801 5.9606 0.0052
-2.3908 -1.8936 6.0664
Cs Zn Ge Se Rb
1 1 1 1 1
direct
0.2684 0.3679 0.9538
0.7430 0.0186 0.2596
0.2481 0.9258 0.3624
0.0281 0.4833 0.3587
0.8172 0.7239 0.6998
```

Calculated values
Formation energy from raw total energies ... -0.37 eV/atom
Symmetry ... No. 1

VASP calculation (GGA-PBE) on an optimized crystal structure of Sc3CuP.

```
Sc3CuP
1.0
-2.3533 0.3327 4.2505
0.2439 -4.8365 0.5137
4.2565 0.4611 2.3206
Sc P Cu
3 1 1
direct
0.0000 0.5000 0.0000
0.0000 0.0000 0.5000
0.5000 0.0000 0.0000
0.0000 0.0000 0.0000
0.5000 0.5000 0.5000
```

Calculated values
Formation enthalpy at 0 K ... -0.2606 eV/atom
Symmetry ... No. 221

VASP calculation (GGA-PBE) on an optimized crystal structure of Nd2SmY5Er.

```
Nd2SmY5Er
1.0
8.7345 0.0000 0.0000
0.0000 8.7345 0.0000
-4.3672 -4.3672 7.8097
Nd Sm Y Er
4 2 10 2
direct
0.1169 0.3831 0.0000
0.6169 0.1169 0.0000
0.3831 0.8831 0.0000
0.8831 0.6169 0.0000
0.2500 0.2500 0.5000
0.7500 0.7500 0.5000
0.9281 0.4281 0.2767
0.6514 0.1514 0.7233
0.0719 0.5719 0.7233
0.1514 0.0719 0.7233
0.5719 0.6514 0.7233
0.8486 0.9281 0.2767
0.4281 0.3486 0.2767
0.3486 0.8486 0.2767
0.5000 0.5000 0.0000
0.0000 0.0000 0.0000
0.2500 0.7500 0.5000
0.7500 0.2500 0.5000
```

Calculated values
Formation enthalpy at 0 K ... 0.2553 eV/atom
Symmetry ... No. 140

VASP calculation (GGA-PBE) on an optimized crystal structure of HoEr6Tm8.

```
HoEr6Tm8
1.0
-1.7133 5.9139 1.7559
-8.2714 -3.1856 2.6586
7.0189 0.2444 6.0255
Ho Er Tm
1 6 8
direct
0.5000 0.0000 0.0000
0.5905 0.6812 0.0969
0.5905 0.9031 0.5843
0.5905 0.4157 0.3188
0.4095 0.3188 0.9031
0.4095 0.0969 0.4157
0.4095 0.5843 0.6812
0.9041 0.9760 0.3127
0.9041 0.6873 0.6633
0.9041 0.3367 0.0240
0.0959 0.0240 0.6873
0.0959 0.3127 0.3367
0.0959 0.6633 0.9760
0.8351 0.3333 0.6667
0.1649 0.6667 0.3333
```

Calculated values
Formation enthalpy at 0 K ... 0.2481 eV/atom
Symmetry ... No. 147

VASP calculation (GGA-PBE) on an optimized crystal structure of TbPr2Ag3.

```
TbPr2Ag3
1.0
-0.3396 -0.9317 -3.5788
-0.6082 -3.5309 0.9769
-11.1629 2.0671 0.5211
Tb Pr Ag
1 2 3
direct
0.5000 0.5000 0.5000
0.5000 0.5000 0.8290
0.5000 0.5000 0.1710
0.0000 0.0000 0.0000
0.0000 0.0000 0.6526
0.0000 0.0000 0.3474
```

Calculated values
Formation enthalpy at 0 K ... -0.2706 eV/atom
Symmetry ... No. 123

VASP calculation (GGA-PBE) on an optimized crystal structure of Li2ZnAs.

```
Li2ZnAs
1.0
-1.8032 -2.6060 3.2147
2.5187 -1.3345 3.5004
-0.7707 1.6959 4.1118
As Li Zn
1 2 1
direct
0.5000 0.5000 0.5000
0.0000 0.0000 0.0000
0.2500 0.2500 0.2500
0.7500 0.7500 0.7500
```

Calculated values
Formation enthalpy at 0 K ... -0.2989 eV/atom
Symmetry ... No. 216